Compound: Ga2Ag5Cl12
Source: Alexandria
Functional: PBE
Structure: relaxed

D(E_F) = 3.116 states/eV/f.u.
Volume = 931.1 Å³ per cell
Density = 3938 kg/m3
Energy relative to the lowest polymorph listed for this composition = 0.0 meV/atom

abc: 13.967 7.222 9.603
angles: 90.00 106.00 90.00
Space group C2/m (No. 12)
Symmetry-distinct sites (fractional):
Ga 0.000 0.245 0.000 x4
Ag 0.000 0.000 0.500 x2
Ag 0.195 0.500 0.377 x4
Ag 0.210 0.500 0.731 x4
Cl 0.037 0.500 0.845 x4
Cl 0.039 0.000 0.850 x4
Cl 0.134 0.243 0.539 x8
Cl 0.166 0.261 0.136 x8